First-principles (PBE) data for ZrTa2Te6 after structural relaxation, as listed in Alexandria via LeMat-Bulk.

abc: 8.063 8.063 9.706
angles: 112.08 112.08 27.00
Atoms (fractional coordinates):
Zr 0.000 0.000 0.000
Ta 0.329 0.329 0.658
Ta 0.671 0.671 0.342
Te 0.031 0.031 0.314
Te 0.308 0.308 0.359
Te 0.354 0.354 0.966
Te 0.646 0.646 0.034
Te 0.692 0.692 0.641
Te 0.969 0.969 0.686

DOS at the Fermi energy   5.9 states/eV/cell
Raw formation energy   -0.497 eV per atom
E_tot   -6.1750 eV/atom
Spin magnetization   0.000 μB/atom